Entry 1:
{
  "formula": "La3Ho4Te8",
  "functional": "PBE",
  "state": "relaxed",
  "lattice": [[-2.522, -8.254, 1.919], [8.332, 2.577, 1.704], [-3.098, 6.793, 4.819]],
  "species": ["Te", "Te", "Te", "Te", "Te", "Te", "Te", "Te", "Ho", "Ho", "Ho", "Ho", "La", "La", "La"],
  "frac_coords": [[0.500, 0.756, 0.244], [0.502, 0.757, 0.757], [0.012, 0.755, 0.755], [0.498, 0.243, 0.243], [0.500, 0.244, 0.756], [0.000, 0.750, 0.250], [0.000, 0.250, 0.750], [0.988, 0.245, 0.245], [0.000, 0.500, 0.000], [0.000, 0.000, 0.000], [0.500, 0.000, 0.000], [0.000, 0.000, 0.500], [0.500, 0.500, 0.500], [0.500, 0.000, 0.500], [0.500, 0.500, 0.000]],
  "e_form_raw_kj_per_mol_fu": -2076.9,
  "e_tot_ev_per_atom": -5.317,
  "magmom_total_mub_per_fu": 0.001,
  "spacegroup": "C2/m (12)"
}

***

Entry 2:
{
  "formula": "La2HoTe3",
  "functional": "PBE",
  "state": "relaxed",
  "lattice": [[4.477, 0.000, 0.000], [0.000, 6.374, 0.000], [-2.238, -3.187, 6.782]],
  "species": ["La", "La", "Ho", "Te", "Te", "Te"],
  "frac_coords": [[0.172, 0.172, 0.844], [0.828, 0.828, 0.156], [0.500, 0.500, 0.500], [0.844, 0.344, 0.189], [0.500, 0.000, 0.500], [0.156, 0.656, 0.811]],
  "e_form_raw_kj_per_mol_fu": -851.4,
  "e_tot_ev_per_atom": -5.447,
  "magmom_total_mub_per_fu": 0.003,
  "de_polymorph_ev_per_atom": 0.010,
  "spacegroup": "Immm (71)"
}

***

Entry 3:
{
  "formula": "La2HoTe4",
  "functional": "PBE",
  "state": "relaxed",
  "lattice": [[7.730, 0.000, 4.455], [2.660, 7.317, 4.319], [0.017, 0.003, 8.903]],
  "species": ["Te", "Te", "Te", "Te", "Te", "Te", "Te", "Te", "Ho", "Ho", "La", "La", "La", "La"],
  "frac_coords": [[0.739, 0.272, 0.250], [0.261, 0.250, 0.228], [0.748, 0.744, 0.244], [0.261, 0.728, 0.750], [0.263, 0.744, 0.244], [0.252, 0.256, 0.756], [0.737, 0.256, 0.756], [0.739, 0.750, 0.772], [0.000, 0.500, 0.000], [0.500, 0.500, 0.000], [0.000, 0.500, 0.500], [0.000, 0.000, 0.500], [0.500, 0.000, 0.500], [0.000, 0.000, 0.000]],
  "e_form_raw_kj_per_mol_fu": -1014.2,
  "e_tot_ev_per_atom": -5.359,
  "magmom_total_mub_per_fu": 0.001,
  "de_polymorph_ev_per_atom": 0.000,
  "spacegroup": "Imma (74)"
}